Entry 1:
Pm8AsIr3I4 | PBE | relaxed

a = 8.5097 Å, b = 9.3629 Å, c = 8.5099 Å
α = 117.05°, β = 120.00°, γ = 90.00°
Last column: nearest neighbours and their distance in Å.
Element x y z (fractional)
1 Pm 0.2364 0.6854 0.9492  2 Ir 2.82, 1 As 2.97
2 Pm 0.2364 0.6854 0.4727  2 Ir 2.82, 1 As 2.97
3 Pm 0.2717 0.3152 0.5433  3 Ir 2.86
4 Pm 0.7128 0.6854 0.9492  2 Ir 2.82, 1 As 2.97
5 Pm 0.2872 0.3146 0.0508  2 Ir 2.82, 1 As 2.97
6 Pm 0.7283 0.6848 0.4567  3 Ir 2.86
7 Pm 0.7636 0.3146 0.5273  2 Ir 2.82, 1 As 2.97
8 Pm 0.7636 0.3146 0.0508  2 Ir 2.82, 1 As 2.97
9 As 0.0000 0.5000 0.0000  6 Pm 2.97
10 Ir 0.5000 0.5000 0.0000  6 Pm 2.82-2.86
11 Ir 0.5000 0.5000 0.5000  6 Pm 2.82-2.86
12 Ir 0.0000 0.5000 0.5000  6 Pm 2.82-2.86
13 I 0.5000 0.0000 0.0000  6 Pm 3.43
14 I 0.5000 0.0000 0.5000  6 Pm 3.51-3.55
15 I 0.0000 0.0000 0.0000  6 Pm 3.51-3.55
16 I 0.0000 0.0000 0.5000  6 Pm 3.51-3.55

## Properties
Calculated total energy, Ha/atom: -0.21075
SG: R-3m
Crystal system: trigonal
Formation energy (no corrections), eV per formula unit: -16.3
Density of states at the Fermi level, states/eV per atom: 0.55
Calculated density, g/cm3: 7.706

Entry 2:
Pm6AsIr2I3 | PBE | relaxed

a = 7.3759 Å, b = 7.3759 Å, c = 8.3204 Å
α = 98.44°, β = 98.44°, γ = 119.98°
Last column: nearest neighbours and their distance in Å.
Element x y z (fractional)
1 Pm 0.9377 0.5888 0.8129  2 Ir 2.82-2.83, 1 As 2.97
2 Pm 0.7131 0.7131 0.1867  2 Ir 2.83, 1 As 2.97
3 Pm 0.0623 0.4112 0.1871  2 Ir 2.82-2.83, 1 As 2.97
4 Pm 0.5888 0.9377 0.8129  2 Ir 2.82-2.83, 1 As 2.97
5 Pm 0.2869 0.2869 0.8133  2 Ir 2.83, 1 As 2.97
6 Pm 0.4112 0.0623 0.1871  2 Ir 2.82-2.83, 1 As 2.97
7 As 0.0000 0.0000 0.0000  6 Pm 2.97
8 Ir 0.3331 0.6669 0.0000  6 Pm 2.82-2.83
9 Ir 0.6669 0.3331 0.0000  6 Pm 2.82-2.83
10 I 0.1633 0.8367 0.5000  6 Pm 3.45-3.54
11 I 0.8367 0.1633 0.5000  6 Pm 3.45-3.54
12 I 0.5000 0.5000 0.5000  6 Pm 3.42-3.54

## Properties
Calculated total energy, Ha/atom: -0.20905
SG: C2/m
Crystal system: monoclinic
Formation energy (no corrections), eV per formula unit: -12.7
Density of states at the Fermi level, states/eV per atom: 0.21
Calculated density, g/cm3: 7.576

Entry 3:
Pm4AsIrI2 | PBE | relaxed

a = 4.1749 Å, b = 7.6905 Å, c = 8.1375 Å
α = 106.77°, β = 90.00°, γ = 90.00°
Last column: nearest neighbours and their distance in Å.
Element x y z (fractional)
1 Pm 0.5000 0.2426 0.1920  1 Ir 2.85, 2 As 2.93
2 Pm 0.5000 0.7574 0.8080  1 Ir 2.85, 2 As 2.93
3 Pm 0.0000 0.2906 0.8154  2 Ir 2.79, 1 As 3.03
4 Pm 0.0000 0.7094 0.1846  2 Ir 2.79, 1 As 3.03
5 As 0.0000 0.0000 0.0000  6 Pm 2.93-3.03
6 Ir 0.5000 0.5000 0.0000  6 Pm 2.79-2.85
7 I 0.5000 0.0000 0.5000  6 Pm 3.53-3.55
8 I 0.0000 0.5000 0.5000  6 Pm 3.40-3.42

## Properties
Calculated total energy, Ha/atom: -0.20389
SG: P2/m
Crystal system: monoclinic
Formation energy (no corrections), eV per formula unit: -8.8
Density of states at the Fermi level, states/eV per atom: 0.62
Calculated density, g/cm3: 7.308